{
  "formula": "Dy6WO12",
  "functional": "PBE with a Hubbard U",
  "state": "optimized geometry",
  "e_tot_ev_per_atom": -8.2974,
  "space_group": "R-3",
  "cell": [[4.923, 2.842, 3.132], [-4.923, 2.842, 3.132], [0.000, -5.685, 3.132]],
  "species": ["Dy", "Dy", "Dy", "Dy", "Dy", "Dy", "W", "O", "O", "O", "O", "O", "O", "O", "O", "O", "O", "O", "O"],
  "frac_coords": [[0.111, 0.644, 0.816], [0.184, 0.889, 0.356], [0.356, 0.184, 0.889], [0.644, 0.816, 0.111], [0.816, 0.111, 0.644], [0.889, 0.356, 0.184], [0.500, 0.500, 0.500], [0.068, 0.323, 0.909], [0.091, 0.932, 0.677], [0.203, 0.535, 0.423], [0.323, 0.909, 0.068], [0.423, 0.203, 0.535], [0.465, 0.577, 0.797], [0.535, 0.423, 0.203], [0.577, 0.797, 0.465], [0.677, 0.091, 0.932], [0.797, 0.465, 0.577], [0.909, 0.068, 0.323], [0.932, 0.677, 0.091]]
}